Model w:
! PBE PrSn2Cl8, relaxed; values from VASP
&SYSTEM
  ibrav = 0, nat = 11, ntyp = 3
/
ATOMIC_SPECIES
Pr 140.91 Pr.upf
Sn 118.71 Sn.upf
Cl 35.45 Cl.upf
ATOMIC_POSITIONS crystal
Pr 0.000 0.000 0.000
Sn 0.306 0.306 0.490
Sn 0.694 0.694 0.510
Cl 0.024 0.666 0.737
Cl 0.162 0.162 0.765
Cl 0.334 0.976 0.263
Cl 0.453 0.453 0.249
Cl 0.547 0.547 0.751
Cl 0.666 0.024 0.737
Cl 0.838 0.838 0.235
Cl 0.976 0.334 0.263
CELL_PARAMETERS angstrom
5.551 -5.041 0.000
5.551 5.041 0.000
-1.816 0.000 6.679
! Symmetry: C2/m, No. 12
! DOS(E_F): 6.1 states/eV/f.u.

***

Model x:
! PBE PrSn2Cl8, relaxed; values from VASP
&SYSTEM
  ibrav = 0, nat = 11, ntyp = 3
/
ATOMIC_SPECIES
Pr 140.91 Pr.upf
Sn 118.71 Sn.upf
Cl 35.45 Cl.upf
ATOMIC_POSITIONS crystal
Pr 0.000 0.000 0.000
Sn 0.133 0.133 0.617
Sn 0.867 0.867 0.383
Cl 0.128 0.693 0.182
Cl 0.182 0.182 0.303
Cl 0.307 0.872 0.818
Cl 0.327 0.327 0.769
Cl 0.673 0.673 0.231
Cl 0.693 0.128 0.182
Cl 0.818 0.818 0.697
Cl 0.872 0.307 0.818
CELL_PARAMETERS angstrom
6.439 -4.194 0.000
6.439 4.194 0.000
-2.671 0.000 7.565
! Symmetry: C2/m, No. 12
! DOS(E_F): 6.3 states/eV/f.u.

***

Stability verdict: model w, ahead by 0.008 eV/atom

***

Model w:
! PBE TbPrCl2, relaxed; values from VASP
&SYSTEM
  ibrav = 0, nat = 4, ntyp = 3
/
ATOMIC_SPECIES
Tb 158.93 Tb.upf
Pr 140.91 Pr.upf
Cl 35.45 Cl.upf
ATOMIC_POSITIONS crystal
Tb 0.000 0.000 0.000
Pr 0.500 0.500 0.500
Cl 0.094 0.094 0.094
Cl 0.906 0.906 0.906
CELL_PARAMETERS angstrom
1.836 1.060 9.603
-1.836 1.060 9.603
0.000 -2.120 9.603
! Symmetry: R-3m, No. 166
! DOS(E_F): 1.5 states/eV/f.u.

***

Model x:
! PBE TbPrCl2, relaxed; values from VASP
&SYSTEM
  ibrav = 0, nat = 4, ntyp = 3
/
ATOMIC_SPECIES
Tb 158.93 Tb.upf
Pr 140.91 Pr.upf
Cl 35.45 Cl.upf
ATOMIC_POSITIONS crystal
Tb 0.000 0.000 0.000
Pr 0.165 0.165 0.165
Cl 0.414 0.414 0.414
Cl 0.585 0.585 0.585
CELL_PARAMETERS angstrom
1.775 1.025 8.912
-1.775 1.025 8.912
0.000 -2.049 8.912
! Symmetry: R3m, No. 160
! DOS(E_F): 1.1 states/eV/f.u.

***

Stability verdict: model w, ahead by 0.038 eV/atom

***

Model w:
! PBE TbPrCl6, relaxed; values from VASP
&SYSTEM
  ibrav = 0, nat = 8, ntyp = 3
/
ATOMIC_SPECIES
Tb 158.93 Tb.upf
Pr 140.91 Pr.upf
Cl 35.45 Cl.upf
ATOMIC_POSITIONS crystal
Tb 0.000 0.000 0.000
Pr 0.000 0.000 0.500
Cl 0.001 0.288 0.772
Cl 0.288 0.001 0.772
Cl 0.289 0.289 0.260
Cl 0.711 0.711 0.740
Cl 0.712 0.999 0.228
Cl 0.999 0.712 0.228
CELL_PARAMETERS angstrom
3.528 -6.132 0.000
3.528 6.132 0.000
-0.565 0.000 7.341
! Symmetry: C2/m, No. 12
! DOS(E_F): 0.0 states/eV/f.u.

***

Model x:
! PBE TbPrCl6, relaxed; values from VASP
&SYSTEM
  ibrav = 0, nat = 8, ntyp = 3
/
ATOMIC_SPECIES
Tb 158.93 Tb.upf
Pr 140.91 Pr.upf
Cl 35.45 Cl.upf
ATOMIC_POSITIONS crystal
Tb 0.000 0.000 0.000
Pr 0.500 0.500 0.500
Cl 0.096 0.392 0.757
Cl 0.243 0.904 0.608
Cl 0.392 0.757 0.096
Cl 0.608 0.243 0.904
Cl 0.757 0.096 0.392
Cl 0.904 0.608 0.243
CELL_PARAMETERS angstrom
3.433 1.982 6.289
-3.433 1.982 6.289
0.000 -3.964 6.289
! Symmetry: R-3, No. 148
! DOS(E_F): 0.0 states/eV/f.u.

***

Stability verdict: model x, ahead by 0.046 eV/atom